1.
## B2C (PBE)

Data for an optimized crystal structure of B2C.

CIF file:
```
data_B2C
_chemical_formula_sum 'B8 C4'
_space_group_name_H-M_alt 'P 1 m 1'
_space_group_IT_number 6
_cell_length_a 4.892
_cell_length_b 2.697
_cell_length_c 6.489
_cell_angle_alpha 90.00
_cell_angle_beta 99.25
_cell_angle_gamma 90.00
loop_
_space_group_symop_operation_xyz
'x,y,z'
'x,-y,z'
loop_
_atom_site_label
_atom_site_fract_x
_atom_site_fract_y
_atom_site_fract_z
_atom_site_occupancy
B1 0.000 0.000 0.000 1
B2 0.029 0.500 0.466 1
B3 0.064 0.500 0.169 1
B4 0.276 0.000 0.525 1
B5 0.316 0.000 0.898 1
B6 0.446 0.500 0.155 1
B7 0.764 0.500 0.834 1
B8 0.884 0.000 0.239 1
C1 0.467 0.500 0.896 1
C2 0.568 0.000 0.266 1
C3 0.587 0.000 0.505 1
C4 0.757 0.500 0.585 1
```

* N(E_F): 1.1 states/eV/cell
* calculated formation energy: 1.4 eV/f.u.
* ΔE to the lowest computed polymorph: 0.81 eV per formula unit
* final energy: -7.07 eV per atom



2.
## Ho3Ga4Cu4 (PBE)

Data for an optimized crystal structure of Ho3Ga4Cu4.

CIF file:
```
data_Ho3Ga4Cu4
_chemical_formula_sum 'Ho3 Ga4 Cu4'
_space_group_name_H-M_alt 'P -1'
_space_group_IT_number 2
_cell_length_a 3.691
_cell_length_b 4.161
_cell_length_c 13.449
_cell_angle_alpha 81.23
_cell_angle_beta 82.13
_cell_angle_gamma 90.00
loop_
_space_group_symop_operation_xyz
'x,y,z'
'-x,-y,-z'
loop_
_atom_site_label
_atom_site_fract_x
_atom_site_fract_y
_atom_site_fract_z
_atom_site_occupancy
Ho1 0.000 0.000 0.000 1
Ho2 0.146 0.646 0.706 1
Ga1 0.254 0.255 0.492 1
Ga2 0.405 0.905 0.192 1
Cu1 0.311 0.812 0.378 1
Cu2 0.455 0.453 0.093 1
```

* N(E_F): 6.1 states/eV/cell
* calculated formation energy: -4.9 eV/f.u.
* ΔE to the lowest computed polymorph: 0.06 eV per formula unit
* final energy: -4.28 eV per atom